Record 1
## K2Tm2O3 (GGA-PBE)

Data for an optimized crystal structure of K2Tm2O3.

Geometry as extended XYZ:
```
14
Lattice="-4.3455 4.3455 4.3455 4.3455 -4.3455 4.3455 4.3455 4.3455 -4.3455" Properties=species:S:1:pos:R:3 pbc="T T T"
O 1.9859 0.0000 6.5182
O 0.0000 2.1727 2.3596
O 2.3596 0.0000 2.1727
O 0.0000 6.5182 1.9859
O 2.1727 2.3596 0.0000
O 6.5182 1.9859 0.0000
K 4.2740 0.0715 -0.0715
K 0.0715 -0.0715 4.2740
K 0.0715 0.0715 0.0715
K -0.0715 4.2740 0.0715
Tm -2.0357 2.3097 2.0357
Tm 2.3097 2.0357 -2.0357
Tm 2.0357 2.0357 2.0357
Tm 2.0357 -2.0357 2.3097
```

Properties
* final energy: -41.34 eV/f.u.


Record 2
## KTmZnO3 (GGA-PBE)

Data for an optimized crystal structure of KTmZnO3.

Geometry as extended XYZ:
```
12
Lattice="1.7196 -6.0244 0.0000 1.7196 6.0244 0.0000 0.0000 0.0000 8.8650" Properties=species:S:1:pos:R:3 pbc="T T T"
O 1.7196 -5.5967 2.2162
O 1.7196 5.5967 6.6487
O 1.7196 1.3980 8.4390
O 1.7196 1.3980 4.8585
O 1.7196 -1.3980 0.4260
O 1.7196 -1.3980 4.0065
Zn 1.7196 0.7682 6.6487
Zn 1.7196 -0.7682 2.2162
Tm 0.0000 0.0000 0.0000
Tm 0.0000 0.0000 4.4325
K 1.7196 2.5917 2.2162
K 1.7196 -2.5917 6.6487
```

Properties
* final energy: -35.27 eV/f.u.


Record 3
## KZn2O4 (GGA-PBE)

Data for an optimized crystal structure of KZn2O4.

Geometry as extended XYZ:
```
14
Lattice="-0.3731 5.0151 -4.0267 0.3582 -5.9928 -2.3371 -5.3626 1.9908 2.9637" Properties=species:S:1:pos:R:3 pbc="T T T"
Zn -3.5886 4.1342 -2.2553
Zn -3.2229 -1.3697 -1.4105
Zn -0.5416 -2.3651 -2.8923
Zn -3.4020 1.6267 -0.2420
O -1.9366 -2.9924 -1.5011
O -2.0875 -1.0000 -3.0985
O -4.4303 3.4058 -0.5129
O -4.3583 -1.7395 0.2774
O -2.3737 -0.1524 0.0290
O -4.5033 0.6407 1.2037
O -4.5092 0.2529 -1.3199
O -2.3007 2.6127 -1.6877
K 0.0000 0.0000 0.0000
K -1.4414 1.2626 -3.4476
```

Properties
* final energy: -27.82 eV/f.u.


Record 4
## K2Zn6O7 (GGA-PBE)

Data for an optimized crystal structure of K2Zn6O7.

Geometry as extended XYZ:
```
30
Lattice="-7.6042 0.0794 -7.7848 -1.8988 -10.5724 1.7470 -2.3110 0.7894 2.2655" Properties=species:S:1:pos:R:3 pbc="T T T"
O -5.1118 -6.8120 0.2688
O -9.6349 -2.7014 -5.7776
O -6.7176 0.5198 -3.9241
O -5.7200 -10.0105 0.7629
O -2.8026 -6.7892 2.6165
O -2.1555 -1.9294 -0.8659
O -7.9709 -8.3507 -4.5607
O -7.4301 -5.1515 -5.1238
O -4.4479 -1.8586 -3.2290
O -5.6786 -8.4215 -2.1976
O -1.4671 0.5012 1.4382
O -2.6964 -5.1286 -0.3028
O -7.3257 -2.6786 -3.4300
O -5.0632 -5.1401 -2.7134
K -4.8820 -3.2639 -0.7252
K -7.1149 -1.3155 -6.1309
K -7.5631 -6.2242 -2.4286
K -3.0191 -8.9621 0.7117
Zn -6.2244 -1.0485 -2.8751
Zn -8.7055 -3.7881 -4.4515
Zn -9.8122 -8.7128 -3.8633
Zn -3.7314 -5.7028 1.2898
Zn -6.2125 -8.4423 -0.2866
Zn -6.9935 -9.4847 -3.1691
Zn -3.1324 -0.7956 -2.2581
Zn -5.7588 -3.8417 -3.8749
Zn -8.4831 -6.7037 -5.6577
Zn -4.3680 -6.4383 -1.5513
Zn -2.6257 -0.7777 0.7026
Zn -1.6428 -3.5766 0.2305
```

Properties
* final energy: -65.47 eV/f.u.


Record 5
## K2Zn2O3 (GGA-PBE)

Data for an optimized crystal structure of K2Zn2O3.

Geometry as extended XYZ:
```
14
Lattice="5.8841 0.0000 0.0000 0.0000 6.2515 0.0000 -2.6182 0.0000 5.7250" Properties=species:S:1:pos:R:3 pbc="T T T"
K 2.9177 3.9785 2.4476
K 1.6086 5.3988 5.3101
K 0.3482 2.2731 3.2774
K 1.6573 0.8527 0.4149
Zn 3.3945 0.7168 3.2711
Zn 4.7036 2.4090 0.4085
Zn -1.4377 3.8425 5.3165
Zn -0.1285 5.5348 2.4540
O 1.6330 0.0000 2.8625
O 4.5970 0.8451 1.6506
O -0.0219 3.9708 1.2119
O -1.3310 5.4065 4.0744
O 3.2879 2.2807 4.5131
O 2.9421 3.1258 0.0000
```

Properties
* ΔE to the lowest computed polymorph: 0.000 eV/atom


Record 6
## K2Zn2O5 (GGA-PBE)

Data for an optimized crystal structure of K2Zn2O5.

Geometry as extended XYZ:
```
9
Lattice="8.8717 0.0000 0.0000 0.0000 3.7572 0.0000 0.0000 0.0000 3.7572" Properties=species:S:1:pos:R:3 pbc="T T T"
O 1.9884 1.8786 0.0000
O 6.8832 0.0000 1.8786
O 4.4358 1.8786 1.8786
O 1.9884 0.0000 1.8786
O 6.8832 1.8786 0.0000
K 0.0000 0.0000 0.0000
K 4.4358 0.0000 0.0000
Zn 6.3624 1.8786 1.8786
Zn 2.5093 1.8786 1.8786
```

Properties
* ΔE to the lowest computed polymorph: 0.000 eV/atom


Record 7
## K2Zn2O5 (GGA-PBE)

Data for an optimized crystal structure of K2Zn2O5.

Geometry as extended XYZ:
```
9
Lattice="9.7890 0.0000 0.0000 0.0000 3.9236 0.0000 0.0000 0.0000 3.9236" Properties=species:S:1:pos:R:3 pbc="T T T"
K 2.4031 1.9618 1.9618
K 7.3859 1.9618 1.9618
O 0.7335 0.0000 1.9618
O 0.7335 1.9618 0.0000
O 9.0555 1.9618 0.0000
O 9.0555 0.0000 1.9618
O 4.8945 1.9618 1.9618
Zn 0.0000 0.0000 0.0000
Zn 4.8945 0.0000 0.0000
```

Properties
* ΔE to the lowest computed polymorph: 0.356 eV/atom


Record 8
## K2Zn2O3 (GGA-PBE)

Data for an optimized crystal structure of K2Zn2O3.

Geometry as extended XYZ:
```
14
Lattice="-4.1144 4.1144 4.1144 4.1144 -4.1144 4.1144 4.1144 4.1144 -4.1144" Properties=species:S:1:pos:R:3 pbc="T T T"
K 4.3163 -0.2019 0.2019
K 0.2019 4.3163 -0.2019
K 3.9125 3.9125 3.9125
K -0.2019 0.2019 4.3163
Zn 1.5574 -1.5574 2.5570
Zn 1.5574 1.5574 1.5574
Zn -1.5574 2.5570 1.5574
Zn 2.5570 1.5574 -1.5574
O 2.5338 0.0000 2.0572
O 0.0000 6.1716 1.5806
O 2.0572 2.5338 0.0000
O 0.0000 2.0572 2.5338
O 6.1716 1.5806 0.0000
O 1.5806 0.0000 6.1716
```

Properties
* ΔE to the lowest computed polymorph: 0.062 eV/atom